A relaxed structure of K3TmSc3Se8, computed with PBE-GGA.

Cell: 9.072 9.072 9.072 Å, 51.63 51.63 51.63°
Fractional coordinates of all 15 atoms:
K 0.000 0.500 0.500
K 0.500 0.000 0.500
K 0.500 0.500 0.000
Tm 0.500 0.500 0.500
Sc 0.000 0.000 0.500
Sc 0.000 0.500 0.000
Sc 0.500 0.000 0.000
Se 0.221 0.739 0.739
Se 0.232 0.232 0.232
Se 0.261 0.261 0.779
Se 0.261 0.779 0.261
Se 0.739 0.221 0.739
Se 0.739 0.739 0.221
Se 0.768 0.768 0.768
Se 0.779 0.261 0.261

Summary:
* space-group type: R-3m, No. 166
* total DFT energy (no corrections): -78.420 eV/cell